This record from Alexandria describes a geometry-optimized Ba2LiSc structure. The functional is PBEsol.

Cell and atoms, written as extended XYZ:
```
4
Lattice="3.7530 0.0000 0.0000 -1.8765 5.9651 0.0342 0.0000 -1.2461 6.6427" Properties=species:S:1:pos:R:3 pbc="T T T"
Li 0.0000 -0.6231 3.3214
Sc 1.8765 0.0000 0.0000
Ba 1.8765 2.0069 5.0089
Ba 0.0000 2.7120 1.6680
```

Calculated values
- Uncorrected energy: -2.84 eV/atom
- Magnetization: 1.28 Bohr magnetons per cell
- ΔE_f: 0.37 eV per atom
- V: 148.87 Å³ per cell
- Symmetry: C2/m (12)